(1)
Computed, not measured: Pa2AuN after structural relaxation at the PBE level of DFT.

Calculated values
For the energy relative to the elements, uncorrected, the calculation gives -0.46 eV per atom. Its density is 15.67 g cm⁻³. For the density of states at the Fermi level, the calculation gives 5.506 states/eV/f.u.

Cell and atoms, written as POSCAR:
```
Pa2AuN
1.0
3.068 0.000 0.000
0.000 3.068 0.000
0.000 0.000 7.577
Au Pa N
1 2 1
Direct
0.500 0.500 0.500 Au
0.000 0.000 0.802 Pa
0.000 0.000 0.198 Pa
0.500 0.500 0.000 N
```


(2)
Computed, not measured: PaAuN after structural relaxation at the PBE level of DFT.

Calculated values
For the energy relative to the elements, uncorrected, the calculation gives -0.85 eV per atom. Its density is 12.50 g cm⁻³. For the density of states at the Fermi level, the calculation gives 2.352 states/eV/f.u.

Cell and atoms, written as POSCAR:
```
PaAuN
1.0
4.631 0.000 0.000
0.000 3.826 0.000
0.000 -1.913 3.314
Pa Au N
1 1 1
Direct
0.167 0.667 0.333 Pa
0.667 0.333 0.667 Au
0.167 0.000 0.000 N
```


(3)
Computed, not measured: PaPdAuN after structural relaxation at the PBE level of DFT.

Calculated values
For the energy relative to the elements, uncorrected, the calculation gives -0.88 eV per atom. Its density is 13.03 g cm⁻³. For the density of states at the Fermi level, the calculation gives 2.595 states/eV/f.u.

Cell and atoms, written as POSCAR:
```
PaPdAuN
1.0
-3.438 -0.030 -1.970
-1.108 -3.247 1.982
-3.660 5.101 6.309
N Pa Pd Au
2 2 2 2
Direct
0.500 0.500 0.000 N
0.000 0.000 0.000 N
0.000 0.500 0.871 Pa
0.500 0.000 0.129 Pa
0.500 0.000 0.722 Pd
0.000 0.500 0.278 Pd
0.500 0.500 0.500 Au
0.000 0.000 0.500 Au
```


(4)
Computed, not measured: PuPa2AuN5 after structural relaxation at the PBE level of DFT.

Calculated values
For the energy relative to the elements, uncorrected, the calculation gives -0.89 eV per atom. Its density is 12.30 g cm⁻³. For the density of states at the Fermi level, the calculation gives 7.109 states/eV/f.u.

Cell and atoms, written as POSCAR:
```
PuPa2AuN5
1.0
3.477 0.000 0.000
-1.738 6.595 0.000
0.000 0.000 11.459
N Pa Au Pu
10 4 2 2
Direct
0.294 0.588 0.648 N
0.948 0.895 0.579 N
0.503 0.005 0.271 N
0.716 0.432 0.835 N
0.647 0.294 0.577 N
0.052 0.105 0.079 N
0.706 0.412 0.148 N
0.353 0.706 0.077 N
0.284 0.568 0.335 N
0.497 0.995 0.771 N
0.125 0.249 0.258 Pa
0.129 0.258 0.701 Pa
0.875 0.751 0.758 Pa
0.871 0.742 0.201 Pa
0.522 0.044 0.457 Au
0.478 0.956 0.957 Au
0.800 0.599 0.498 Pu
0.200 0.401 0.998 Pu
```


(5)
Computed, not measured: PaRhAuN after structural relaxation at the PBE level of DFT.

Calculated values
For the energy relative to the elements, uncorrected, the calculation gives -0.75 eV per atom. Its density is 13.67 g cm⁻³. For the density of states at the Fermi level, the calculation gives 1.465 states/eV/f.u.

Cell and atoms, written as POSCAR:
```
PaRhAuN
1.0
-0.421 -2.154 -3.263
-2.696 -2.216 1.812
-6.165 5.295 -2.700
Pa N Rh Au
2 2 2 2
Direct
0.500 0.000 0.143 Pa
0.000 0.500 0.857 Pa
0.500 0.500 0.000 N
0.000 0.000 0.000 N
0.000 0.500 0.266 Rh
0.500 0.000 0.734 Rh
0.000 0.000 0.500 Au
0.500 0.500 0.500 Au
```


(6)
Computed, not measured: PaSbAuN after structural relaxation at the PBE level of DFT.

Calculated values
For the energy relative to the elements, uncorrected, the calculation gives -0.93 eV per atom. Its density is 11.88 g cm⁻³. For the density of states at the Fermi level, the calculation gives 0.965 states/eV/f.u.

Cell and atoms, written as POSCAR:
```
PaSbAuN
1.0
4.034 0.000 0.000
0.000 4.034 0.000
0.000 0.000 9.685
Sb N Au Pa
2 2 2 2
Direct
0.500 0.000 0.714 Sb
0.000 0.500 0.286 Sb
0.000 0.000 0.000 N
0.500 0.500 0.000 N
0.000 0.000 0.500 Au
0.500 0.500 0.500 Au
0.500 0.000 0.120 Pa
0.000 0.500 0.880 Pa
```